An optimized crystal structure of SrZrTlH2. Source: Alexandria, functional PBE.

calculated volume = 125 Å³/cell
uncorrected energy = -16.69 eV per cell

a = 4.3003 Å, b = 6.7336 Å, c = 4.3003 Å
α = 90.00°, β = 90.00°, γ = 90.00°
Site moments in Bohr magnetons follow the coordinates.
Fractional coordinates of all 5 atoms:
Sr 0.0000 0.5000 0.0000  0.08
Zr 0.0000 0.0000 0.0000  0.60
H 0.0000 0.0000 0.5000  -0.01
H 0.5000 0.0000 0.0000  -0.01
Tl 0.5000 0.5000 0.5000  -0.01

---

An optimized crystal structure of Sr2TmH8. Source: Alexandria, functional PBE.

calculated volume = 122 Å³/cell
uncorrected energy = -38.76 eV per cell

a = 3.7829 Å, b = 5.5693 Å, c = 6.7101 Å
α = 114.56°, β = 106.37°, γ = 90.00°
Fractional coordinates of all 11 atoms:
H 0.0002 0.7699 0.0004
H 0.6440 0.9032 0.2880
H 0.9998 0.2301 0.9996
H 0.3558 0.6150 0.7116
H 0.6442 0.3850 0.2884
Sr 0.8258 0.3259 0.6515
H 0.1748 0.1770 0.3497
Tm 0.5000 0.0000 0.0000
Sr 0.1742 0.6741 0.3485
H 0.3560 0.0968 0.7120
H 0.8252 0.8230 0.6503

---

An optimized crystal structure of SrV3H. Source: Alexandria, functional PBE.

energy relative to the lowest polymorph listed for this composition = 0.0000 eV/atom
calculated volume = 76 Å³/cell

a = 4.2447 Å, b = 4.2447 Å, c = 4.2447 Å
α = 90.00°, β = 90.00°, γ = 90.00°
Site moments in Bohr magnetons follow the coordinates.
Fractional coordinates of all 5 atoms:
Sr 0.5000 0.5000 0.5000  0.09
H 0.0000 0.0000 0.0000  -0.01
V 0.0000 0.0000 0.5000  0.93
V 0.5000 0.0000 0.0000  0.93
V 0.0000 0.5000 0.0000  0.93